Record 1
V3As2O9 | GGA-PBEsol | optimized geometry

Summary:
The polymorph energy (0 for the lowest one) comes out at 54 meV/atom. Its total energy is -8.0621 eV/atom. As for the space group: No. 100. The density comes out at 4.41 g cm⁻³.

abc: 4.115 9.041 9.041
angles: 90.00 90.00 90.00
Site moments in Bohr magnetons follow the coordinates.
Element x y z (fractional)
V 0.377 0.885 0.615  0.99
V 0.377 0.115 0.385  0.99
V 0.377 0.385 0.885  0.99
V 0.377 0.615 0.115  0.99
V 0.435 0.500 0.500  0.98
V 0.435 0.000 0.000  0.98
As 0.750 0.702 0.798  0.03
As 0.750 0.298 0.202  0.03
As 0.750 0.202 0.702  0.03
As 0.750 0.798 0.298  0.03
O 0.519 0.678 0.625  -0.01
O 0.519 0.322 0.375  -0.01
O 0.519 0.178 0.875  -0.01
O 0.519 0.822 0.125  -0.01
O 0.519 0.375 0.678  -0.01
O 0.519 0.625 0.322  -0.01
O 0.519 0.125 0.178  -0.01
O 0.519 0.875 0.822  -0.01
O 0.456 0.595 0.905  -0.01
O 0.456 0.405 0.095  -0.01
O 0.456 0.095 0.595  -0.01
O 0.456 0.905 0.405  -0.01
O 0.041 0.500 0.500  -0.07
O 0.041 0.000 0.000  -0.07
O 0.978 0.879 0.621  -0.06
O 0.978 0.121 0.379  -0.06
O 0.978 0.379 0.879  -0.06
O 0.978 0.621 0.121  -0.06

---

Record 2
VAsO4 | GGA-PBEsol | optimized geometry

Summary:
Its total energy is -7.7317 eV/atom. As for the space group: No. 14. The density comes out at 3.70 g cm⁻³.

abc: 6.230 7.849 7.054
angles: 81.53 90.00 90.00
Element x y z (fractional)
V 0.891 0.018 0.276
V 0.109 0.982 0.724
V 0.391 0.482 0.224
V 0.609 0.518 0.776
As 0.418 0.803 0.462
As 0.918 0.697 0.038
As 0.082 0.303 0.962
As 0.582 0.197 0.538
O 0.388 0.613 0.643
O 0.888 0.887 0.857
O 0.112 0.113 0.143
O 0.612 0.387 0.357
O 0.158 0.905 0.493
O 0.658 0.595 0.007
O 0.342 0.405 0.993
O 0.842 0.095 0.507
O 0.859 0.797 0.243
O 0.359 0.703 0.257
O 0.641 0.297 0.743
O 0.141 0.203 0.757
O 0.189 0.390 0.336
O 0.689 0.110 0.164
O 0.311 0.890 0.836
O 0.811 0.610 0.664

---

Record 3
V3As2O9 | GGA-PBEsol | optimized geometry

Summary:
The polymorph energy (0 for the lowest one) comes out at 0 meV/atom. Its total energy is -8.1159 eV/atom. As for the space group: No. 12. The density comes out at 4.44 g cm⁻³.

abc: 5.354 5.354 6.305
angles: 77.97 77.97 73.10
Site moments in Bohr magnetons follow the coordinates.
Element x y z (fractional)
V 0.414 0.414 0.288  0.84
V 0.590 0.590 0.707  0.83
V 0.002 0.002 0.497  1.41
As 0.820 0.820 0.173  0.02
As 0.184 0.184 0.821  0.02
O 0.211 0.211 0.310  -0.09
O 0.793 0.793 0.685  -0.09
O 0.630 0.630 0.371  -0.01
O 0.374 0.374 0.624  -0.01
O 0.502 0.502 0.997  -0.08
O 0.732 0.118 0.302  -0.01
O 0.118 0.732 0.302  -0.01
O 0.272 0.886 0.693  -0.01
O 0.886 0.272 0.693  -0.01

---

| no. | M_tot (μB/atom) |
| --- | --- |
| 1 | 0.21 |
| 2 | 0.00 |
| 3 | 0.21 |